1.
VASP calculation (PBE) on a relaxed Sm6Bi3AsSe2 crystal.

Results
Mass density ... 8.23 Mg/m³
Volume ... 355.7 Å³ per cell
Energy relative to the elements, uncorrected ... -1.31 eV per atom
Size of the total moment ... 0.00 μB per formula unit

```
Sm6Bi3AsSe2
1.0
9.558 -2.183 0.000
9.558 2.183 0.000
-2.070 0.000 8.523
Sm Bi As Se
6 3 1 2
direct
0.003 0.003 0.234
0.331 0.331 0.426
0.341 0.341 0.910
0.659 0.659 0.090
0.669 0.669 0.574
0.997 0.997 0.766
0.168 0.168 0.833
0.500 0.500 0.500
0.832 0.832 0.167
0.500 0.500 0.000
0.167 0.167 0.334
0.833 0.833 0.666
```

=====

2.
VASP calculation (PBE) on a relaxed EuAgAu crystal.

Results
Mass density ... 9.11 Mg/m³
Volume ... 333.0 Å³ per cell
ΔH_f (0 K) ... -0.427 eV per atom
Size of the total moment ... 7.15 μB per formula unit
ΔE to the lowest computed polymorph ... 111 meV per atom

```
EuAgAu
1.0
6.932 0.000 0.000
0.000 6.932 0.000
0.000 0.000 6.932
Eu Ag Au
4 4 4
direct
0.000 0.000 0.000
0.000 0.500 0.500
0.500 0.000 0.500
0.500 0.500 0.000
0.000 0.000 0.500
0.000 0.500 0.000
0.500 0.000 0.000
0.500 0.500 0.500
0.250 0.250 0.750
0.250 0.750 0.250
0.750 0.250 0.250
0.750 0.750 0.750
```

=====

3.
VASP calculation (PBE) on a relaxed Mn3CoTc crystal.

Results
Mass density ... 6.60 Mg/m³
Volume ... 81.0 Å³ per cell
ΔH_f (0 K) ... 1.190 eV per atom
Size of the total moment ... 9.89 μB per formula unit
ΔE to the lowest computed polymorph ... 0 meV per atom

```
Mn3CoTc
1.0
4.326 0.000 0.000
0.000 4.326 0.000
0.000 0.000 4.326
Mn Co Tc
3 1 1
direct
0.000 0.000 0.500
0.000 0.500 0.000
0.500 0.000 0.000
0.000 0.000 0.000
0.500 0.500 0.500
```

=====

4.
VASP calculation (PBE) on a relaxed CaZn4GaPt2 crystal.

Results
Mass density ... 8.77 Mg/m³
Volume ... 144.2 Å³ per cell
ΔH_f (0 K) ... -0.372 eV per atom
Size of the total moment ... 0.00 μB per formula unit

```
CaZn4GaPt2
1.0
2.160 1.247 8.921
-2.160 1.247 8.921
0.000 -2.495 8.921
Ca Zn Ga Pt
1 4 1 2
direct
0.000 0.000 0.000
0.122 0.122 0.122
0.400 0.400 0.400
0.600 0.600 0.600
0.878 0.878 0.878
0.500 0.500 0.500
0.249 0.249 0.249
0.751 0.751 0.751
```